Entry 1:
The following is a DFT calculation (PBE-GGA) of a relaxed AcSm2Si crystal.

Cell and atoms, written as CIF:
```
data_AcSm2Si
_space_group_name_H-M_alt 'P 4/m m m'
_space_group_IT_number 123
_space_group_name_Hall '-P 4 2'
_cell_length_a 4.887
_cell_length_b 4.887
_cell_length_c 4.841
_cell_angle_alpha 90.00
_cell_angle_beta 90.00
_cell_angle_gamma 90.00
loop_
_atom_site_label
_atom_site_fract_x
_atom_site_fract_y
_atom_site_fract_z
Ac1 0.000 0.000 0.000
Sm1 0.000 0.500 0.500
Si1 0.500 0.500 0.000
```

For the total energy, the calculation gives -19.59 eV for the cell shown. For the excess energy over the best structure of this formula in the dataset, the calculation gives 61 meV/atom.

Entry 2:
The following is a DFT calculation (PBE-GGA) of a relaxed AcSmSi4 crystal.

Cell and atoms, written as CIF:
```
data_AcSmSi4
_space_group_name_H-M_alt 'P b a m'
_space_group_IT_number 55
_space_group_name_Hall '-P 2 2ab'
_cell_length_a 8.029
_cell_length_b 15.545
_cell_length_c 4.341
_cell_angle_alpha 90.00
_cell_angle_beta 90.00
_cell_angle_gamma 90.00
loop_
_atom_site_label
_atom_site_fract_x
_atom_site_fract_y
_atom_site_fract_z
Ac1 0.128 0.151 0.000
Sm1 0.135 0.411 0.000
Si1 0.014 0.695 0.500
Si2 0.118 0.953 0.500
Si3 0.128 0.548 0.500
Si4 0.213 0.803 0.500
```

For the total energy, the calculation gives -133.82 eV for the cell shown. For the excess energy over the best structure of this formula in the dataset, the calculation gives 0 meV/atom.